No. 1
This record from Alexandria via LeMat-Bulk describes a relaxed K2TbNpTe4 crystal. The functional is PBE.

```
data_K2TbNpTe4
_chemical_formula_sum 'K2 Tb1 Np1 Te4'
_cell_length_a 7.891
_cell_length_b 4.539
_cell_length_c 8.622
_cell_angle_alpha 90.00
_cell_angle_beta 107.73
_cell_angle_gamma 90.00
_space_group_name_H-M_alt 'P 1 2/m 1'
_space_group_IT_number 10
_space_group_name_Hall '-P 2y'
loop_
_atom_site_label
_atom_site_type_symbol
_atom_site_fract_x
_atom_site_fract_y
_atom_site_fract_z
K1 K 0.000 0.000 0.000
K2 K 0.500 0.500 0.000
Tb1 Tb 0.000 0.500 0.500
Np1 Np 0.500 0.000 0.500
Te1 Te 0.233 0.000 0.710
Te2 Te 0.261 0.500 0.291
```

Values from the calculation:
Formation energy (no corrections), eV/atom: -1.140
Energy, eV/atom: -5.18
Fermi-level density of states, states/eV/cell: 7.2

---

No. 2
This record from Alexandria via LeMat-Bulk describes a relaxed K4TbNp3Te8 crystal. The functional is PBE.

```
data_K4TbNp3Te8
_chemical_formula_sum 'K12 Tb3 Np9 Te24'
_cell_length_a 9.1141
_cell_length_b 9.1141
_cell_length_c 24.6225
_cell_angle_alpha 90.00
_cell_angle_beta 90.00
_cell_angle_gamma 120.00
_space_group_name_H-M_alt 'R -3 m'
_space_group_IT_number 166
_space_group_name_Hall '-R 3 2"'
loop_
_atom_site_label
_atom_site_type_symbol
_atom_site_fract_x
_atom_site_fract_y
_atom_site_fract_z
K1 K 0.0000 0.0000 0.0000
K2 K 0.0000 0.5000 0.0000
Tb1 Tb 0.0000 0.0000 0.5000
Np1 Np 0.0000 0.5000 0.5000
Te1 Te 0.0000 0.0000 0.2363
Te2 Te 0.0027 0.5013 0.2366
```

Values from the calculation:
Formation energy (no corrections), eV/atom: -1.016
Energy, eV/atom: -5.58
Fermi-level density of states, states/eV/cell: 78.0

---

No. 3
This record from Alexandria via LeMat-Bulk describes a relaxed K4Tb3NpTe8 crystal. The functional is PBE.

```
data_K4Tb3NpTe8
_chemical_formula_sum 'K12 Tb9 Np3 Te24'
_cell_length_a 9.0599
_cell_length_b 9.0599
_cell_length_c 24.7221
_cell_angle_alpha 90.00
_cell_angle_beta 90.00
_cell_angle_gamma 120.00
_space_group_name_H-M_alt 'R -3 m'
_space_group_IT_number 166
_space_group_name_Hall '-R 3 2"'
loop_
_atom_site_label
_atom_site_type_symbol
_atom_site_fract_x
_atom_site_fract_y
_atom_site_fract_z
K1 K 0.0000 0.0000 0.0000
K2 K 0.0000 0.5000 0.0000
Tb1 Tb 0.0000 0.5000 0.5000
Np1 Np 0.0000 0.0000 0.5000
Te1 Te 0.0000 0.0000 0.2364
Te2 Te 0.0034 0.5017 0.7634
```

Values from the calculation:
Formation energy (no corrections), eV/atom: -1.270
Energy, eV/atom: -4.79
Fermi-level density of states, states/eV/cell: 17.3

---

No. 4
This record from Alexandria via LeMat-Bulk describes a relaxed K3Tb2NpTe6 crystal. The functional is PBE.

```
data_K3Tb2NpTe6
_chemical_formula_sum 'K6 Tb4 Np2 Te12'
_cell_length_a 7.850
_cell_length_b 13.621
_cell_length_c 8.643
_cell_angle_alpha 90.00
_cell_angle_beta 107.68
_cell_angle_gamma 90.00
_space_group_name_H-M_alt 'C 1 2/m 1'
_space_group_IT_number 12
_space_group_name_Hall '-C 2y'
loop_
_atom_site_label
_atom_site_type_symbol
_atom_site_fract_x
_atom_site_fract_y
_atom_site_fract_z
K1 K 0.000 0.000 0.000
K2 K 0.000 0.334 0.000
Tb1 Tb 0.000 0.167 0.500
Np1 Np 0.000 0.500 0.500
Te1 Te 0.233 0.000 0.710
Te2 Te 0.238 0.331 0.710
```

Values from the calculation:
Formation energy (no corrections), eV/atom: -1.226
Energy, eV/atom: -4.92
Fermi-level density of states, states/eV/cell: 11.1

---

No. 5
This record from Alexandria via LeMat-Bulk describes a relaxed K2NpTe3 crystal. The functional is PBE.

```
data_K2NpTe3
_chemical_formula_sum 'K8 Np4 Te12'
_cell_length_a 8.795
_cell_length_b 14.054
_cell_length_c 7.867
_cell_angle_alpha 90.00
_cell_angle_beta 111.75
_cell_angle_gamma 90.00
_space_group_name_H-M_alt 'C 1 2/c 1'
_space_group_IT_number 15
_space_group_name_Hall '-C 2yc'
loop_
_atom_site_label
_atom_site_type_symbol
_atom_site_fract_x
_atom_site_fract_y
_atom_site_fract_z
K1 K 0.000 0.078 0.250
K2 K 0.000 0.234 0.750
Np1 Np 0.000 0.407 0.250
Te1 Te 0.195 0.431 0.002
Te2 Te 0.250 0.250 0.500
```

Values from the calculation:
Formation energy (no corrections), eV/atom: -0.854
Offset from the most stable computed form, eV per atom: 0.058
Energy, eV/atom: -4.95
Fermi-level density of states, states/eV/cell: 40.8

---

No. 6
This record from Alexandria via LeMat-Bulk describes a relaxed K3NpTe3 crystal. The functional is PBE.

```
data_K3NpTe3
_chemical_formula_sum 'K12 Np4 Te12'
_cell_length_a 9.428
_cell_length_b 14.383
_cell_length_c 9.365
_cell_angle_alpha 90.00
_cell_angle_beta 109.63
_cell_angle_gamma 90.00
_space_group_name_H-M_alt 'C 1 2/m 1'
_space_group_IT_number 12
_space_group_name_Hall '-C 2y'
loop_
_atom_site_label
_atom_site_type_symbol
_atom_site_fract_x
_atom_site_fract_y
_atom_site_fract_z
K1 K 0.000 0.164 0.000
K2 K 0.000 0.307 0.500
K3 K 0.097 0.500 0.887
Np1 Np 0.112 0.000 0.613
Te1 Te 0.184 0.000 0.321
Te2 Te 0.218 0.343 0.215
```

Values from the calculation:
Formation energy (no corrections), eV/atom: -0.825
Energy, eV/atom: -4.49
Fermi-level density of states, states/eV/cell: 18.9

---

No. 7
This record from Alexandria via LeMat-Bulk describes a relaxed KNpTe2 crystal. The functional is PBE.

```
data_KNpTe2
_chemical_formula_sum 'K3 Np3 Te6'
_cell_length_a 4.5227
_cell_length_b 4.5227
_cell_length_c 25.1175
_cell_angle_alpha 90.00
_cell_angle_beta 90.00
_cell_angle_gamma 120.00
_space_group_name_H-M_alt 'R 3 m'
_space_group_IT_number 160
_space_group_name_Hall 'R 3 -2"'
loop_
_atom_site_label
_atom_site_type_symbol
_atom_site_fract_x
_atom_site_fract_y
_atom_site_fract_z
K1 K 0.0000 0.0000 0.0000
Np1 Np 0.0000 0.0000 0.1692
Te1 Te 0.0000 0.0000 0.5717
Te2 Te 0.0000 0.0000 0.7660
```

Values from the calculation:
Formation energy (no corrections), eV/atom: -0.876
Energy, eV/atom: -5.96
Fermi-level density of states, states/eV/cell: 28.0

---

No. 8
This record from Alexandria via LeMat-Bulk describes a relaxed KNpTe3 crystal. The functional is PBE.

```
data_KNpTe3
_chemical_formula_sum 'K1 Np1 Te3'
_cell_length_a 5.884
_cell_length_b 5.884
_cell_length_c 5.884
_cell_angle_alpha 90.00
_cell_angle_beta 90.00
_cell_angle_gamma 90.00
_space_group_name_H-M_alt 'P m -3 m'
_space_group_IT_number 221
_space_group_name_Hall '-P 4 2 3'
loop_
_atom_site_label
_atom_site_type_symbol
_atom_site_fract_x
_atom_site_fract_y
_atom_site_fract_z
K1 K 0.000 0.000 0.000
Np1 Np 0.500 0.500 0.500
Te1 Te 0.000 0.500 0.500
```

Values from the calculation:
Formation energy (no corrections), eV/atom: -0.646
Offset from the most stable computed form, eV per atom: 0.029
Energy, eV/atom: -5.34
Fermi-level density of states, states/eV/cell: 11.0

---

No. 9
This record from Alexandria via LeMat-Bulk describes a relaxed KNpTe2 crystal. The functional is PBE.

```
data_KNpTe2
_chemical_formula_sum 'K1 Np1 Te2'
_cell_length_a 3.872
_cell_length_b 3.872
_cell_length_c 8.495
_cell_angle_alpha 90.00
_cell_angle_beta 90.00
_cell_angle_gamma 90.00
_space_group_name_H-M_alt 'P 4/m m m'
_space_group_IT_number 123
_space_group_name_Hall '-P 4 2'
loop_
_atom_site_label
_atom_site_type_symbol
_atom_site_fract_x
_atom_site_fract_y
_atom_site_fract_z
K1 K 0.000 0.000 0.000
Np1 Np 0.000 0.000 0.500
Te1 Te 0.500 0.500 0.289
```

Values from the calculation:
Formation energy (no corrections), eV/atom: -0.801
Energy, eV/atom: -5.88
Fermi-level density of states, states/eV/cell: 7.6

---

No. 10
This record from Alexandria via LeMat-Bulk describes a relaxed KNp4Te6 crystal. The functional is PBE.

```
data_KNp4Te6
_chemical_formula_sum 'K4 Np16 Te24'
_cell_length_a 4.458
_cell_length_b 14.624
_cell_length_c 23.021
_cell_angle_alpha 90.00
_cell_angle_beta 90.00
_cell_angle_gamma 90.00
_space_group_name_H-M_alt 'C m c m'
_space_group_IT_number 63
_space_group_name_Hall '-C 2c 2'
loop_
_atom_site_label
_atom_site_type_symbol
_atom_site_fract_x
_atom_site_fract_y
_atom_site_fract_z
K1 K 0.000 0.166 0.250
Np1 Np 0.000 0.092 0.626
Np2 Np 0.000 0.362 0.539
Te1 Te 0.000 0.000 0.000
Te2 Te 0.000 0.151 0.750
Te3 Te 0.000 0.270 0.085
Te4 Te 0.000 0.457 0.657
```

Values from the calculation:
Formation energy (no corrections), eV/atom: -0.695
Energy, eV/atom: -7.21
Fermi-level density of states, states/eV/cell: 180.5